# 1
LaCo3Ag: relaxed, PBE.

Cell: 4.555 4.555 4.555 Å, 90.00 90.00 90.00°
Sites, in units of the cell vectors:
La: 0.000 0.000 0.000
Co: 0.000 0.000 0.500
Co: 0.000 0.500 0.000
Co: 0.500 0.000 0.000
Ag: 0.500 0.500 0.500

Computed properties:
The density of states at the Fermi level comes out at 8.48 states/eV/cell. The space group is Pm-3m. As for the magnetization: 0.846 μB per formula unit. The formation energy comes out at 1516 meV/atom.

---

# 2
La6CoAg3: relaxed, PBE.

Cell: 11.576 3.913 14.249 Å, 90.00 112.02 90.00°
Sites, in units of the cell vectors:
La: 0.013 0.250 0.362
La: 0.088 0.250 0.892
La: 0.254 0.750 0.327
La: 0.329 0.750 0.780
La: 0.366 0.750 0.130
La: 0.421 0.250 0.584
La: 0.579 0.750 0.416
La: 0.634 0.250 0.870
La: 0.671 0.250 0.220
La: 0.746 0.250 0.673
La: 0.912 0.750 0.108
La: 0.987 0.750 0.638
Co: 0.439 0.250 0.280
Co: 0.561 0.750 0.720
Ag: 0.141 0.250 0.140
Ag: 0.183 0.750 0.535
Ag: 0.402 0.250 0.964
Ag: 0.598 0.750 0.036
Ag: 0.817 0.250 0.465
Ag: 0.859 0.750 0.860

Computed properties:
The density of states at the Fermi level comes out at 24.76 states/eV/cell. The space group is P2_1/m. As for the magnetization: 0.004 μB per formula unit. The formation energy comes out at -103 meV/atom.

---

# 3
LaCoAg4: relaxed, PBE.

Cell: 5.564 5.564 5.564 Å, 60.00 60.00 60.00°
Sites, in units of the cell vectors:
La: 0.000 0.000 0.000
Co: 0.250 0.250 0.250
Ag: 0.128 0.624 0.624
Ag: 0.624 0.128 0.624
Ag: 0.624 0.624 0.128
Ag: 0.624 0.624 0.624

Computed properties:
The density of states at the Fermi level comes out at 8.40 states/eV/cell. The space group is F-43m. As for the magnetization: 1.138 μB per formula unit. The formation energy comes out at 148 meV/atom.

---

# 4
La12Co5Ag: relaxed, PBE.

Cell: 7.118 7.118 13.146 Å, 94.83 94.83 120.35°
Sites, in units of the cell vectors:
La: 0.037 0.368 0.112
La: 0.086 0.086 0.375
La: 0.174 0.547 0.625
La: 0.300 0.300 0.887
La: 0.368 0.037 0.112
La: 0.453 0.826 0.375
La: 0.547 0.174 0.625
La: 0.632 0.963 0.888
La: 0.700 0.700 0.113
La: 0.826 0.453 0.375
La: 0.914 0.914 0.625
La: 0.963 0.632 0.888
Co: 0.000 0.000 0.000
Co: 0.166 0.834 0.500
Co: 0.334 0.666 0.000
Co: 0.666 0.334 0.000
Co: 0.834 0.166 0.500
Ag: 0.500 0.500 0.500

Computed properties:
The density of states at the Fermi level comes out at 22.68 states/eV/cell. The space group is C2/m. As for the magnetization: 0.000 μB per formula unit. The formation energy comes out at -76 meV/atom.

---

# 5
La7Co2Ag2: relaxed, PBE.

Cell: 9.744 9.744 9.744 Å, 157.20 68.37 116.54°
Sites, in units of the cell vectors:
La: 0.000 0.000 0.000
La: 0.071 0.387 0.684
La: 0.076 0.725 0.351
La: 0.374 0.725 0.649
La: 0.450 0.580 0.869
La: 0.704 0.387 0.316
La: 0.711 0.580 0.131
Co: 0.310 0.072 0.238
Co: 0.835 0.072 0.762
Ag: 0.331 0.331 0.000
Ag: 0.740 0.240 0.500

Computed properties:
The density of states at the Fermi level comes out at 12.93 states/eV/cell. The space group is Imm2. As for the magnetization: 0.000 μB per formula unit. The formation energy comes out at -129 meV/atom.

---

# 6
LaCoAg: relaxed, PBE.

Cell: 4.755 4.755 4.755 Å, 60.00 60.00 60.00°
Sites, in units of the cell vectors:
La: 0.000 0.000 0.000
Co: 0.500 0.500 0.500
Ag: 0.750 0.750 0.750

Computed properties:
The density of states at the Fermi level comes out at 5.15 states/eV/cell. The space group is F-43m. As for the magnetization: 0.784 μB per formula unit. The formation energy comes out at 430 meV/atom.

---

Asked for final energy across the records above, the calculation gives -4.303; -4.625; -3.758; -5.493; -5.075; -4.531 eV/atom in order.